Entry 1:
## TaRh2SBr (GGA-PBE)

Data for a relaxed structure of TaRh2SBr.

Unit cell a=4.9194 b=4.6286 c=4.9194 alpha=90.00 beta=90.00 gamma=90.00
Positions (direct):
Rh1 0.0000 0.0000 0.5000
Rh2 0.5000 0.0000 0.0000
Ta1 0.0000 0.0000 0.0000
Br1 0.5000 0.5000 0.5000
S1 0.0000 0.5000 0.0000

ρ   7.39 g cm⁻³
ΔE_f (raw)   657 meV/atom
Calculated total energy   -29.1 eV/cell
D(E_F)   3.580 states/eV per cell

=====

Entry 2:
## KCa3Mo (GGA-PBE)

Data for a relaxed structure of KCa3Mo.

Unit cell a=5.8044 b=5.8044 c=5.8044 alpha=90.00 beta=90.00 gamma=90.00
Each line ends with the local moment (μB).
Positions (direct):
Ca1 0.0000 0.0000 0.5000  -0.01
Ca2 0.0000 0.5000 0.0000  0.01
Ca3 0.5000 0.0000 0.0000  0.02
K1 0.5000 0.5000 0.5000  -0.01
Mo1 0.0000 0.0000 0.0000  1.49

ρ   2.17 g cm⁻³
Relative energy among the computed polymorphs   0 meV per atom
Energy of formation from the pure elements   3.39 eV per formula unit
Calculated total energy   -14.5 eV/cell
D(E_F)   3.698 states/eV per cell

=====

Entry 3:
## SrMgGa2Pd2 (GGA-PBE)

Data for a relaxed structure of SrMgGa2Pd2.

Unit cell a=4.4255 b=4.4255 c=7.3815 alpha=90.00 beta=90.00 gamma=120.00
Positions (direct):
Ga1 0.6667 0.3333 0.7002
Ga2 0.3333 0.6667 0.2998
Mg1 0.0000 0.0000 0.5000
Pd1 0.3333 0.6667 0.6679
Pd2 0.6667 0.3333 0.3321
Sr1 0.0000 0.0000 0.0000

ρ   6.16 g cm⁻³
Energy of formation from the pure elements   -4.11 eV per formula unit
Calculated total energy   -23.8 eV/cell
D(E_F)   2.455 states/eV per cell

=====

Entry 4:
## Ba2CdPb2 (GGA-PBE)

Data for a relaxed structure of Ba2CdPb2.

Unit cell a=5.3618 b=6.8511 c=11.4513 alpha=85.63 beta=76.46 gamma=66.96
Positions (direct):
Pb1 0.0929 0.2631 0.5511
Pb2 0.9071 0.7369 0.4489
Pb3 0.3643 0.1567 0.1147
Pb4 0.6357 0.8433 0.8853
Ba1 0.0769 0.7403 0.1058
Ba2 0.9231 0.2597 0.8942
Ba3 0.6826 0.3012 0.3336
Ba4 0.3174 0.6988 0.6664
Cd1 0.6210 0.1012 0.6568
Cd2 0.3790 0.8988 0.3432

ρ   7.07 g cm⁻³
Relative energy among the computed polymorphs   0 meV per atom
Energy of formation from the pure elements   -2.56 eV per formula unit
Calculated total energy   -29.5 eV/cell
D(E_F)   1.682 states/eV per cell

=====

Entry 5:
## SbAsC2 (GGA-PBE)

Data for a relaxed structure of SbAsC2.

Unit cell a=5.4997 b=5.4997 c=5.5478 alpha=60.29 beta=60.29 gamma=90.00
Positions (direct):
C1 0.3750 0.4422 0.7500
C2 0.8750 0.8078 0.7500
C3 0.5578 0.1250 0.2500
C4 0.1922 0.6250 0.2500
Sb1 0.0000 0.0000 0.0000
Sb2 0.7500 0.2500 0.5000
As1 0.2500 0.7500 0.5000
As2 0.5000 0.5000 0.0000

ρ   6.12 g cm⁻³
ΔE_f (raw)   1391 meV/atom
Calculated total energy   -43.3 eV/cell
D(E_F)   1.715 states/eV per cell

=====

Entry 6:
## PrSmN (GGA-PBE)

Data for a relaxed structure of PrSmN.

Unit cell a=6.8880 b=3.7595 c=3.7595 alpha=125.44 beta=83.36 gamma=83.36
Positions (direct):
Sm1 0.6511 0.8475 0.8475
Pr1 0.1461 0.5989 0.5989
N1 0.8861 0.2294 0.2294

ρ   6.60 g cm⁻³
Relative energy among the computed polymorphs   341 meV per atom
ΔE_f (raw)   -525 meV/atom
Calculated total energy   -19.4 eV/cell
D(E_F)   2.209 states/eV per cell

=====

Entry 7:
## La2ZnPbN (GGA-PBE)

Data for a relaxed structure of La2ZnPbN.

Unit cell a=5.1390 b=5.1390 c=4.5109 alpha=90.00 beta=90.00 gamma=90.00
Positions (direct):
La1 0.5000 0.0000 0.0000
La2 0.0000 0.5000 0.0000
Zn1 0.0000 0.0000 0.5000
Pb1 0.5000 0.5000 0.5000
N1 0.0000 0.0000 0.0000

ρ   7.87 g cm⁻³
ΔE_f (raw)   -653 meV/atom
Calculated total energy   -26.4 eV/cell
D(E_F)   1.939 states/eV per cell

=====

Entry 8:
## AlSiP2O (GGA-PBE)

Data for a relaxed structure of AlSiP2O.

Unit cell a=4.9098 b=4.9098 c=3.3590 alpha=90.00 beta=90.00 gamma=90.00
Positions (direct):
Si1 0.5000 0.5000 0.5000
P1 0.0000 0.5000 0.0000
P2 0.5000 0.0000 0.0000
O1 0.0000 0.0000 0.5000
Al1 0.0000 0.0000 0.0000

ρ   2.73 g cm⁻³
Relative energy among the computed polymorphs   235 meV per atom
ΔE_f (raw)   -19 meV/atom
Calculated total energy   -25.0 eV/cell
D(E_F)   3.860 states/eV per cell